# 1
NaNiBi2 after structural relaxation. Source: the Alexandria database, functional GGA-PBE.

Summary:
Magnetic moment (μB/f.u.): 0.0
Space-group type: No. 122
Calculated formation energy (meV per atom): 189
Excess energy over the best structure of this formula in the dataset (eV/atom): 0.3027

Cell: 5.1996 5.1996 9.4358 Å, 74.01 74.01 90.00°
Closest atoms and distances in Å follow each position.
Element x y z (fractional)
Ni  0.0000  0.0000  0.0000  4 Bi 2.67
Ni  0.7500  0.2500  0.5000  4 Bi 2.67
Bi  0.7097  0.1250  0.2500  2 Ni 2.67
Bi  0.0403  0.6250  0.2500  2 Ni 2.67
Bi  0.3750  0.2903  0.7500  2 Ni 2.67
Bi  0.8750  0.9597  0.7500  2 Ni 2.67
Na  0.5000  0.5000  0.0000  4 Bi 3.07
Na  0.2500  0.7500  0.5000  4 Bi 3.07

=====

# 2
Co2SbBr after structural relaxation. Source: the Alexandria database, functional GGA-PBE.

Summary:
Uncorrected formation energy (eV per atom): 0.405
Magnetic moment (μB/f.u.): 2.7
Space-group type: No. 122
Excess energy over the best structure of this formula in the dataset (eV/atom): 0.2898

Cell: 5.8280 5.8280 6.6150 Å, 63.86 63.86 90.00°
Closest atoms and distances in Å follow each position.
Element x y z (fractional)
Sb  0.0000  0.0000  0.0000  4 Co 2.48
Sb  0.7500  0.2500  0.5000  4 Co 2.48
Co  0.6107  0.1250  0.2500  2 Br 2.38, 2 Sb 2.48
Co  0.1393  0.6250  0.2500  2 Br 2.38, 2 Sb 2.48
Co  0.3750  0.3893  0.7500  2 Br 2.38, 2 Sb 2.48
Co  0.8750  0.8607  0.7500  2 Br 2.38, 2 Sb 2.48
Br  0.5000  0.5000  0.0000  4 Co 2.38
Br  0.2500  0.7500  0.5000  4 Co 2.38

=====

# 3
SrTbS2 after structural relaxation. Source: the Alexandria database, functional GGA-PBE.

Summary:
Uncorrected formation energy (eV per atom): -1.958
Magnetic moment (μB/f.u.): 0.0
Space-group type: No. 160
Excess energy over the best structure of this formula in the dataset (eV/atom): 0.0861

Cell: 3.9908 3.9908 7.4540 Å, 74.47 74.47 60.00°
Closest atoms and distances in Å follow each position.
Element x y z (fractional)
Sr  0.4955  0.4955  0.5135  6 S 2.94-3.08
Tb  0.6701  0.6701  0.9896  6 S 2.77-2.85
S  0.0761  0.0761  0.7717  3 Tb 2.77, 3 Sr 2.94
S  0.2582  0.2582  0.2253  3 Tb 2.85, 3 Sr 3.08

=====

# 4
Th4P6O23 after structural relaxation. Source: the Alexandria database, functional GGA-PBE.

Summary:
Uncorrected formation energy (eV per atom): -2.907
Magnetic moment (μB/f.u.): 0.0
Space-group type: No. 26

Cell: 7.1571 10.5243 12.9660 Å, 90.00 90.00 90.00°
Closest atoms and distances in Å follow each position.
Element x y z (fractional)
Th  0.0000  0.4886  0.9147  8 O 2.28-2.54
Th  0.5000  0.0228  0.8168  6 O 2.26-2.49
Th  0.0000  0.0217  0.6837  4 O 2.23-2.49
Th  0.5000  0.4905  0.5897  6 O 2.26-2.49
Th  0.0000  0.5114  0.4147  8 O 2.28-2.54
Th  0.5000  0.9772  0.3168  6 O 2.26-2.49
Th  0.0000  0.9783  0.1837  4 O 2.23-2.49
Th  0.5000  0.5095  0.0897  6 O 2.26-2.49
P  0.0000  0.1245  0.9168  4 O 1.52-1.57
P  0.5000  0.3757  0.8666  4 O 1.53-1.56
P  0.2105  0.7247  0.7420  4 O 1.51-1.65
P  0.7895  0.7247  0.7420  4 O 1.51-1.65
P  0.0000  0.3733  0.6365  4 O 1.53-1.56
P  0.5000  0.1267  0.5830  4 O 1.52-1.57
P  0.0000  0.8755  0.4168  4 O 1.52-1.57
P  0.5000  0.6243  0.3666  4 O 1.53-1.56
P  0.7895  0.2753  0.2420  4 O 1.51-1.65
P  0.2105  0.2753  0.2420  4 O 1.51-1.65
P  0.0000  0.6267  0.1365  4 O 1.53-1.56
P  0.5000  0.8733  0.0830  4 O 1.52-1.57
O  0.5000  0.9449  0.9791  1 P 1.54
O  0.0000  0.2669  0.9370  1 P 1.52
O  0.6687  0.4252  0.9315  1 P 1.56
O  0.3313  0.4252  0.9315  1 P 1.56
O  0.5000  0.2303  0.8613  1 P 1.53
O  0.1673  0.0812  0.8469  1 P 1.57
O  0.8327  0.0812  0.8469  1 P 1.57
O  0.8088  0.6528  0.8426  1 P 1.51
O  0.1912  0.6528  0.8426  1 P 1.51
O  0.5000  0.4311  0.7574  1 P 1.53
O  0.2822  0.8622  0.7558  1 P 1.55
O  0.7178  0.8622  0.7558  1 P 1.55
O  0.0000  0.4293  0.7454  1 P 1.53
O  0.0000  0.7596  0.6982  2 P 1.65
O  0.6940  0.6539  0.6556  1 P 1.51
O  0.3060  0.6539  0.6556  1 P 1.51
O  0.6694  0.0825  0.6514  1 P 1.57
O  0.3306  0.0825  0.6514  1 P 1.57
O  0.0000  0.2274  0.6430  1 P 1.54
O  0.8317  0.4219  0.5713  1 P 1.56
O  0.1683  0.4219  0.5713  1 P 1.56
O  0.5000  0.2697  0.5655  1 P 1.52
O  0.0000  0.9504  0.5196  1 P 1.55
O  0.5000  0.0551  0.4791  1 P 1.54
O  0.0000  0.7331  0.4370  1 P 1.52
O  0.6687  0.5748  0.4315  1 P 1.56
O  0.3313  0.5748  0.4315  1 P 1.56
O  0.5000  0.7697  0.3613  1 P 1.53
O  0.1673  0.9188  0.3469  1 P 1.57
O  0.8327  0.9188  0.3469  1 P 1.57
O  0.1912  0.3472  0.3426  1 P 1.51
O  0.8088  0.3472  0.3426  1 P 1.51
O  0.5000  0.5689  0.2574  1 P 1.53
O  0.7178  0.1378  0.2558  1 P 1.55
O  0.2822  0.1378  0.2558  1 P 1.55
O  0.0000  0.5707  0.2454  1 P 1.53
O  0.0000  0.2404  0.1982  2 P 1.65
O  0.6940  0.3461  0.1556  1 P 1.51
O  0.3060  0.3461  0.1556  1 P 1.51
O  0.6694  0.9175  0.1514  1 P 1.57
O  0.3306  0.9175  0.1514  1 P 1.57
O  0.0000  0.7726  0.1430  1 P 1.54
O  0.1683  0.5781  0.0713  1 P 1.56
O  0.8317  0.5781  0.0713  1 P 1.56
O  0.5000  0.7303  0.0655  1 P 1.52
O  0.0000  0.0496  0.0196  1 P 1.55